Record 1
11
Lattice="-6.158 0.515 0.771 -1.565 -5.322 9.099 -0.094 8.438 -4.325" Properties=species:S:1:pos:R:3 comment="Tl2In6Hg2Bi | Alexandria | PBE | optimized geometry" dft_energy_ev_per_atom=-2.321 pbc="T T T"
Tl -5.780 5.242 0.312
Tl -2.037 -1.612 5.234
In -3.402 -4.189 8.652
In -1.294 7.023 -2.681
In -2.254 1.192 3.217
In -6.522 -3.392 8.227
In -5.562 2.438 2.328
In -4.414 7.819 -3.106
Hg -2.773 3.571 1.272
Hg -5.044 0.060 4.274
Bi -3.126 4.476 -1.777

***

Record 2
12
Lattice="5.062 0.000 0.000 0.000 7.308 -0.878 0.000 -2.750 9.666" Properties=species:S:1:pos:R:3 comment="TlIn3HgBi | Alexandria | PBE | optimized geometry" dft_energy_ev_per_atom=-2.447 pbc="T T T"
Tl 1.266 -0.782 5.847
Tl 3.797 5.340 2.940
In 3.797 6.079 -0.285
In 1.266 -1.521 9.072
In 1.266 3.193 3.918
In 3.797 1.364 4.869
In 3.797 2.222 1.489
In 1.266 2.336 7.299
Hg 1.266 4.153 0.804
Hg 3.797 0.405 7.983
Bi 1.266 0.184 2.481
Bi 3.797 4.374 6.307

***

Record 3
12
Lattice="-2.104 4.414 2.200 -3.961 -3.977 4.190 6.990 0.025 6.632" Properties=species:S:1:pos:R:3 comment="Tl2In2HgBi | Alexandria | PBE | optimized geometry" dft_energy_ev_per_atom=-2.392 pbc="T T T"
Tl -0.868 2.106 1.477
Tl -0.225 -1.390 2.574
Tl 3.572 0.142 9.664
Tl 2.456 -3.362 9.092
In 4.098 -1.423 6.774
In 0.847 1.539 4.256
In -1.964 -3.427 4.996
In 0.709 -0.443 8.100
Hg -0.434 -3.963 7.534
Hg 1.485 -1.974 5.381
Bi 3.296 1.682 6.310
Bi -1.471 -0.316 5.761

***

Record 4
12
Lattice="-4.094 -5.072 0.131 4.530 -3.722 -2.517 2.576 2.350 9.247" Properties=species:S:1:pos:R:3 comment="Tl2InHg2Bi | Alexandria | PBE | optimized geometry" dft_energy_ev_per_atom=-2.003 pbc="T T T"
Tl 0.231 -1.608 2.793
Tl 2.781 -4.835 4.068
Tl 3.150 0.289 5.242
Tl -0.138 -6.732 1.619
In 1.350 -5.327 -1.822
In -0.915 -3.466 -0.564
Hg -1.971 -4.045 2.433
Hg 1.768 -4.079 1.127
Hg 1.243 -2.365 5.733
Hg 4.983 -2.398 4.427
Bi 3.398 -2.791 -1.888
Bi 1.133 -0.930 -0.629

***

Record 5
18
Lattice="-1.023 -1.153 -4.244 -3.860 -7.146 5.273 -11.331 6.776 0.890" Properties=species:S:1:pos:R:3 comment="Tl5InHg2Bi | Alexandria | PBE | optimized geometry" dft_energy_ev_per_atom=-2.096 pbc="T T T"
Tl -14.425 0.596 3.314
Tl -12.326 1.049 0.283
Tl -9.440 3.178 -0.990
Tl -11.289 -0.848 2.951
Tl -11.336 -4.205 1.472
Tl -6.850 0.908 -0.998
Tl -5.919 -1.357 1.795
Tl -6.294 -4.988 2.872
Tl -4.079 -1.180 -1.098
Tl -0.987 0.355 0.141
In -9.096 -1.309 0.146
In -2.329 -3.078 1.397
Hg -14.108 -2.231 1.604
Hg -9.078 1.479 1.786
Hg -4.026 1.857 0.466
Hg -4.954 -4.306 -0.038
Bi -12.395 4.258 -0.571
Bi -8.667 -2.881 2.871

***

Record 6
9
Lattice="-2.185 -1.341 2.228 2.561 -8.685 -2.715 4.582 4.285 7.071" Properties=species:S:1:pos:R:3 comment="Tl3In3Hg2Bi | Alexandria | PBE | optimized geometry" dft_energy_ev_per_atom=-2.181 pbc="T T T"
Tl 0.651 -6.585 -0.735
Tl 2.028 2.248 5.930
Tl 1.186 -2.074 2.504
In 4.593 -2.829 2.801
In 1.636 1.530 2.524
In 0.914 -3.101 -0.969
Hg 2.142 -5.032 1.661
Hg 2.816 -0.709 4.923
Bi 0.000 0.000 0.000

***

Record 7
11
Lattice="-7.612 3.737 -0.916 -3.076 -2.958 -6.001 -4.047 4.171 11.551" Properties=species:S:1:pos:R:3 comment="Tl2In2Hg6Bi | Alexandria | PBE | optimized geometry" dft_energy_ev_per_atom=-1.438 pbc="T T T"
Tl -13.515 4.171 3.487
Tl -1.220 0.780 1.146
In -3.545 -0.865 -1.187
In -11.189 5.816 5.820
Hg -6.429 3.658 2.174
Hg -8.320 5.330 7.220
Hg -10.010 3.454 3.870
Hg -6.415 -0.379 -2.586
Hg -4.725 1.497 0.763
Hg -8.306 1.293 2.460
Bi -5.830 3.954 5.317

***

Record 8
8
Lattice="-3.061 -1.239 3.106 3.083 -3.936 1.469 7.379 1.917 8.035" Properties=species:S:1:pos:R:3 comment="Tl2In4HgBi | Alexandria | PBE | optimized geometry" dft_energy_ev_per_atom=-2.467 pbc="T T T"
Tl 7.379 1.917 8.035
Tl 2.159 0.339 5.571
In 7.883 -1.448 7.190
In -0.482 -1.809 5.420
In 2.645 -3.088 4.683
In 4.756 -0.170 7.927
Hg 0.011 -2.587 2.288
Bi 5.231 -1.009 4.752